Tb4Nd2DyHo2: relaxed, PBE.

## Properties
DFT total energy = -4.562 eV/atom

The structure in CIF format:
```
data_Tb4Nd2DyHo2
_symmetry_space_group_name_H-M 'P -1'
_symmetry_Int_Tables_number 2
_cell_length_a 6.025
_cell_length_b 6.643
_cell_length_c 8.589
_cell_angle_alpha 79.81
_cell_angle_beta 70.45
_cell_angle_gamma 65.15
loop_
_symmetry_equiv_pos_as_xyz
'x,y,z'
'-x,-y,-z'
loop_
_atom_site_label
_atom_site_type_symbol
_atom_site_fract_x
_atom_site_fract_y
_atom_site_fract_z
Tb1 Tb 0.119 0.126 0.261
Tb2 Tb 0.240 0.576 0.386
Nd1 Nd 0.230 0.325 0.842
Dy1 Dy 0.500 0.000 0.500
Ho1 Ho 0.322 0.770 0.944
```